{"formula": "BeBP", "functional": "PBE", "state": "relaxed", "space_group": "P1 (1)", "formation_energy_ev_per_atom": 0.0547, "lattice_angstrom": [[2.991, 0.000, 0.000], [1.477, 3.190, 0.000], [0.008, 1.244, 7.627]], "species": ["Be", "Be", "B", "B", "P", "P"], "frac_coords": [[0.000, 0.000, 0.000], [0.400, 0.205, 0.443], [0.108, 0.785, 0.539], [0.630, 0.740, 0.643], [0.062, 0.880, 0.284], [0.678, 0.642, 0.892]]}